Record 1
AcPm2Y GGA-PBE relaxed; space group = P-6m2, No. 187; total magnetic moment = 0.00 μB per formula unit; uncorrected energy = -19.94 eV per formula unit; polymorph energy (0 for the lowest one) = 0 meV/atom; DOS at the Fermi energy = 4.8 states/eV/f.u.
1.0
-0.2116 -3.6376 -0.8384
1.8938 2.3252 -2.2332
9.9988 -2.0452 6.3495
Y Pm Ac
1 2 1
direct
0.1328 0.8672 0.5000 Y
0.4666 0.5334 0.2615 Pm
0.4666 0.5334 0.7385 Pm
0.8001 0.1999 0.0000 Ac



Record 2
Ac2Pm12Y5 GGA-PBE relaxed; space group = C2/m, No. 12; total magnetic moment = 0.00 μB per formula unit; uncorrected energy = -93.25 eV per formula unit; polymorph energy (0 for the lowest one) = 202 meV/atom; DOS at the Fermi energy = 22.4 states/eV/f.u.
1.0
9.7966 0.0000 0.0000
-4.8983 10.6987 -2.0576
0.0000 -4.8940 7.4272
Pm Ac Y
12 2 5
direct
0.9235 0.3316 0.6115 Pm
0.0765 0.6684 0.3885 Pm
0.0744 0.1488 0.2416 Pm
0.4764 0.9528 0.6239 Pm
0.3093 0.2489 0.9479 Pm
0.6907 0.7511 0.0521 Pm
0.0604 0.7511 0.0521 Pm
0.4081 0.3316 0.6115 Pm
0.9396 0.2489 0.9479 Pm
0.5236 0.0472 0.3761 Pm
0.9256 0.8512 0.7584 Pm
0.5919 0.6684 0.3885 Pm
0.3193 0.0000 0.0000 Ac
0.6807 0.0000 0.0000 Ac
0.0000 0.0000 0.5000 Y
0.7012 0.4024 0.3719 Y
0.2916 0.5832 0.0160 Y
0.7084 0.4168 0.9840 Y
0.2988 0.5976 0.6281 Y



Record 3
Ac2PmY GGA-PBE relaxed; space group = Pmmm, No. 47; total magnetic moment = 0.00 μB per formula unit; uncorrected energy = -19.30 eV per formula unit; polymorph energy (0 for the lowest one) = 0 meV/atom; DOS at the Fermi energy = 5.8 states/eV/f.u.
1.0
-4.6855 -2.1784 -0.4775
1.3508 -1.2580 -7.5167
3.0324 -6.8942 1.6987
Ac Y Pm
4 2 2
direct
0.9998 0.5000 0.2499 Ac
0.0002 0.0000 0.7501 Ac
0.0002 0.5000 0.7501 Ac
0.9998 0.0000 0.2499 Ac
0.5000 0.2500 0.0001 Y
0.5000 0.7500 0.9999 Y
0.5000 0.7500 0.5000 Pm
0.5000 0.2500 0.5000 Pm



Taking the records one at a time from the top gives DFT formation energy values of 0.13; 4.30; 0.13 eV per formula unit.